(1)
A relaxed BeSbMo2 crystal. Source: Alexandria, functional GGA-PBE.

a = 2.853 Å, b = 2.853 Å, c = 9.021 Å
α = 90.00°, β = 90.00°, γ = 107.42°
Atoms (fractional coordinates):
Sb  0.000  0.000  0.483
Mo  0.000  0.000  0.989
Mo  0.500  0.500  0.223
Be  0.500  0.500  0.804

Values from the calculation:
E_form (uncorrected): 489 meV per atom
E: -27.56 eV per formula unit

---

(2)
A relaxed BeSb2Mo crystal. Source: Alexandria, functional GGA-PBE.

a = 4.656 Å, b = 6.981 Å, c = 3.418 Å
α = 60.84°, β = 89.90°, γ = 124.81°
Atoms (fractional coordinates):
Sb  0.000  0.000  0.000
Sb  0.000  0.500  0.500
Mo  0.500  0.000  0.500
Be  0.500  0.500  0.000

Values from the calculation:
E_form (uncorrected): 573 meV per atom
E: -20.51 eV per formula unit

---

(3)
A relaxed BeSbMo3 crystal. Source: Alexandria, functional GGA-PBE.

a = 4.874 Å, b = 4.874 Å, c = 4.874 Å
α = 90.00°, β = 90.00°, γ = 90.00°
Atoms (fractional coordinates):
Sb  0.000  0.000  0.000
Mo  0.000  0.500  0.000
Mo  0.000  0.000  0.500
Mo  0.500  0.000  0.000
Be  0.500  0.500  0.500

Values from the calculation:
E_form (uncorrected): 2326 meV per atom
E above lowest polymorph: 1675 meV/atom
E: -28.71 eV per formula unit

---

(4)
A relaxed BeSbMo2 crystal. Source: Alexandria, functional GGA-PBE.

a = 4.156 Å, b = 2.942 Å, c = 5.365 Å
α = 78.94°, β = 90.00°, γ = 90.00°
Atoms (fractional coordinates):
Sb  0.500  0.250  0.250
Mo  0.000  0.017  0.973
Mo  0.000  0.483  0.527
Be  0.500  0.750  0.750

Values from the calculation:
E_form (uncorrected): 417 meV per atom
E: -27.84 eV per formula unit

---

(5)
A relaxed Be2SbMo crystal. Source: Alexandria, functional GGA-PBE.

a = 6.607 Å, b = 3.972 Å, c = 3.475 Å
α = 89.97°, β = 58.30°, γ = 127.01°
Atoms (fractional coordinates):
Sb  0.500  0.500  0.000
Mo  0.000  0.500  0.500
Be  0.000  0.000  0.000
Be  0.500  0.000  0.500

Values from the calculation:
E_form (uncorrected): 341 meV per atom
E: -21.04 eV per formula unit

---

(6)
A relaxed BeSb2Mo crystal. Source: Alexandria, functional GGA-PBE.

a = 3.498 Å, b = 3.498 Å, c = 6.057 Å
α = 90.00°, β = 90.00°, γ = 90.00°
Atoms (fractional coordinates):
Sb  0.000  0.000  0.998
Sb  0.000  0.000  0.502
Mo  0.500  0.500  0.750
Be  0.500  0.500  0.250

Values from the calculation:
E_form (uncorrected): 452 meV per atom
E: -20.99 eV per formula unit

---

(7)
A relaxed Be2SbMo crystal. Source: Alexandria, functional GGA-PBE.

a = 3.361 Å, b = 3.361 Å, c = 5.106 Å
α = 90.00°, β = 90.00°, γ = 90.00°
Atoms (fractional coordinates):
Sb  0.500  0.500  0.754
Mo  0.000  0.000  0.483
Be  0.000  0.000  0.021
Be  0.500  0.500  0.242

Values from the calculation:
E_form (uncorrected): 272 meV per atom
E: -21.32 eV per formula unit

---

(8)
A relaxed BeSb2Mo crystal. Source: Alexandria, functional GGA-PBE.

a = 3.281 Å, b = 3.281 Å, c = 7.517 Å
α = 90.00°, β = 90.00°, γ = 90.00°
Atoms (fractional coordinates):
Sb  0.000  0.000  0.910
Sb  0.500  0.500  0.325
Mo  0.500  0.500  0.697
Be  0.000  0.000  0.568

Values from the calculation:
E_form (uncorrected): 237 meV per atom
E: -21.85 eV per formula unit